(1)
A plane-wave DFT calculation with PBE was carried out for ZrSnSe4 after structural relaxation.

Cell: 3.824 3.824 18.436 Å, 85.61 88.68 60.00°
Positions (direct):
Zr1 0.000 0.000 0.000
Sn1 0.033 0.858 0.341
Se1 0.342 0.298 0.086
Se2 0.375 0.154 0.428
Se3 0.658 0.703 0.914
Se4 0.691 0.561 0.253

(2)
A plane-wave DFT calculation with PBE was carried out for SrTb2Se3 after structural relaxation.

Cell: 4.191 4.191 10.303 Å, 90.00 90.00 120.00°
Positions (direct):
Sr1 0.000 0.000 0.000
Tb1 0.333 0.667 0.649
Tb2 0.667 0.333 0.351
Se1 0.000 0.000 0.500
Se2 0.333 0.667 0.184
Se3 0.667 0.333 0.816

(3)
A plane-wave DFT calculation with PBE was carried out for Sr2ZnTcSe6 after structural relaxation.

Cell: 7.443 7.443 7.443 Å, 127.89 127.89 76.81°
Positions (direct):
Sr1 0.250 0.750 0.500
Sr2 0.750 0.250 0.500
Zn1 0.000 0.000 0.000
Tc1 0.500 0.500 0.000
Se1 0.146 0.640 0.786
Se2 0.271 0.271 0.000
Se3 0.360 0.146 0.506
Se4 0.640 0.854 0.494
Se5 0.729 0.729 0.000
Se6 0.854 0.360 0.214

(4)
A plane-wave DFT calculation with PBE was carried out for SrTh2Se5 after structural relaxation.

Cell: 8.808 7.956 12.623 Å, 90.00 90.01 90.00°
Positions (direct):
Sr1 0.006 0.036 0.326
Sr2 0.006 0.464 0.826
Sr3 0.994 0.536 0.174
Sr4 0.994 0.964 0.674
Th1 0.249 0.575 0.491
Th2 0.249 0.925 0.991
Th3 0.499 0.519 0.180
Th4 0.499 0.981 0.680
Th5 0.501 0.019 0.320
Th6 0.501 0.481 0.820
Th7 0.751 0.075 0.009
Th8 0.751 0.425 0.509
Se1 0.042 0.173 0.088
Se2 0.042 0.327 0.588
Se3 0.264 0.697 0.718
Se4 0.264 0.803 0.218
Se5 0.276 0.171 0.814
Se6 0.276 0.329 0.314
Se7 0.278 0.542 0.999
Se8 0.278 0.958 0.499
Se9 0.456 0.162 0.101
Se10 0.456 0.338 0.601
Se11 0.544 0.662 0.399
Se12 0.544 0.838 0.899
Se13 0.722 0.042 0.501
Se14 0.722 0.458 0.001
Se15 0.724 0.671 0.686
Se16 0.724 0.829 0.186
Se17 0.736 0.197 0.782
Se18 0.736 0.303 0.282
Se19 0.958 0.673 0.412
Se20 0.958 0.827 0.912

(5)
A plane-wave DFT calculation with PBE was carried out for SrTmSe2 after structural relaxation.

Cell: 4.206 4.206 5.933 Å, 90.00 90.00 90.00°
Positions (direct):
Sr1 0.000 0.000 0.000
Tm1 0.500 0.500 0.500
Se1 0.000 0.000 0.500
Se2 0.500 0.500 0.000

(6)
A plane-wave DFT calculation with PBE was carried out for SrTm2Se3 after structural relaxation.

Cell: 4.132 4.132 10.185 Å, 90.00 90.00 120.00°
Positions (direct):
Sr1 0.000 0.000 0.000
Tm1 0.333 0.667 0.649
Tm2 0.667 0.333 0.351
Se1 0.000 0.000 0.500
Se2 0.333 0.667 0.190
Se3 0.667 0.333 0.810

(7)
A plane-wave DFT calculation with PBE was carried out for Sr2ZnSe3 after structural relaxation.

Cell: 8.899 4.260 17.202 Å, 90.00 90.00 90.00°
Positions (direct):
Sr1 0.080 0.250 0.215
Sr2 0.246 0.250 0.960
Sr3 0.254 0.750 0.460
Sr4 0.420 0.750 0.715
Sr5 0.580 0.250 0.285
Sr6 0.746 0.250 0.540
Sr7 0.754 0.750 0.040
Sr8 0.920 0.750 0.785
Zn1 0.129 0.250 0.635
Zn2 0.371 0.750 0.135
Zn3 0.629 0.250 0.865
Zn4 0.871 0.750 0.365
Se1 0.009 0.250 0.402
Se2 0.122 0.750 0.071
Se3 0.183 0.250 0.777
Se4 0.317 0.750 0.277
Se5 0.378 0.250 0.571
Se6 0.491 0.750 0.902
Se7 0.509 0.250 0.098
Se8 0.622 0.750 0.429
Se9 0.683 0.250 0.723
Se10 0.817 0.750 0.223
Se11 0.878 0.250 0.929
Se12 0.991 0.750 0.598

(8)
A plane-wave DFT calculation with PBE was carried out for SrZn2Se3 after structural relaxation.

Cell: 7.071 7.071 10.466 Å, 90.00 90.00 147.15°
Positions (direct):
Sr1 0.241 0.759 0.750
Sr2 0.759 0.241 0.250
Zn1 0.000 0.000 0.000
Zn2 0.000 0.000 0.500
Zn3 0.474 0.526 0.250
Zn4 0.526 0.474 0.750
Se1 0.082 0.918 0.250
Se2 0.371 0.629 0.058
Se3 0.371 0.629 0.442
Se4 0.629 0.371 0.558
Se5 0.629 0.371 0.942
Se6 0.918 0.082 0.750

(9)
A plane-wave DFT calculation with PBE was carried out for Sr4ZnSe3 after structural relaxation.

Cell: 4.481 4.480 12.753 Å, 90.00 90.12 90.00°
Positions (direct):
Sr1 0.000 0.000 0.000
Sr2 0.003 0.000 0.500
Sr3 0.500 0.500 0.258
Sr4 0.504 0.500 0.742
Zn1 0.500 0.500 0.000
Se1 0.000 0.000 0.252
Se2 0.004 0.000 0.748
Se3 0.503 0.500 0.500

(10)
A plane-wave DFT calculation with PBE was carried out for Sr4Zn3Se after structural relaxation.

Cell: 4.554 4.552 12.916 Å, 90.00 90.07 90.00°
Positions (direct):
Sr1 0.000 0.000 0.000
Sr2 0.004 0.000 0.484
Sr3 0.500 0.500 0.242
Sr4 0.505 0.500 0.742
Zn1 0.004 0.000 0.742
Zn2 0.500 0.500 0.986
Zn3 0.504 0.500 0.498
Se1 0.000 0.000 0.242

(11)
A plane-wave DFT calculation with PBE was carried out for SrZrZnSe3 after structural relaxation.

Cell: 7.492 7.492 10.097 Å, 90.00 90.00 149.67°
Positions (direct):
Sr1 0.235 0.765 0.750
Sr2 0.765 0.235 0.250
Zr1 0.000 0.000 0.000
Zr2 0.000 0.000 0.500
Zn1 0.476 0.524 0.250
Zn2 0.524 0.476 0.750
Se1 0.088 0.912 0.250
Se2 0.365 0.635 0.055
Se3 0.365 0.635 0.445
Se4 0.635 0.365 0.555
Se5 0.635 0.365 0.945
Se6 0.912 0.088 0.750

(12)
A plane-wave DFT calculation with PBE was carried out for TaSe2 after structural relaxation.

Cell: 8.899 9.548 11.276 Å, 73.91 76.25 86.08°
Positions (direct):
Ta1 0.000 0.000 0.000
Ta2 0.069 0.214 0.716
Ta3 0.152 0.487 0.361
Ta4 0.215 0.716 0.070
Ta5 0.283 0.930 0.786
Ta6 0.360 0.151 0.486
Ta7 0.488 0.362 0.152
Ta8 0.512 0.638 0.848
Ta9 0.640 0.849 0.514
Ta10 0.717 0.070 0.214
Ta11 0.785 0.284 0.930
Ta12 0.848 0.513 0.639
Ta13 0.931 0.786 0.284
Se1 0.004 0.056 0.218
Se2 0.076 0.280 0.919
Se3 0.085 0.196 0.477
Se4 0.138 0.497 0.603
Se5 0.180 0.423 0.159
Se6 0.225 0.753 0.292
Se7 0.226 0.646 0.857
Se8 0.301 0.983 0.993
Se9 0.326 0.879 0.556
Se10 0.373 0.204 0.691
Se11 0.405 0.105 0.251
Se12 0.444 0.426 0.372
Se13 0.485 0.343 0.934
Se14 0.515 0.657 0.066
Se15 0.556 0.574 0.628
Se16 0.595 0.895 0.749
Se17 0.627 0.796 0.309
Se18 0.674 0.121 0.444
Se19 0.699 0.017 0.007
Se20 0.774 0.354 0.143
Se21 0.775 0.247 0.708
Se22 0.820 0.577 0.841
Se23 0.862 0.503 0.397
Se24 0.915 0.804 0.523
Se25 0.924 0.720 0.081
Se26 0.996 0.944 0.782

no.,total energy (eV/atom)
1,-5.251
2,-5.428
3,-4.432
4,-6.094
5,-5.039
6,-5.298
7,-4.084
8,-3.422
9,-3.772
10,-2.236
11,-4.782
12,-7.086